# 1
This record from the Alexandria database describes an optimized crystal structure of Ho3Te2Pd. The functional is PBE.

abc: 7.267 7.663 7.292
angles: 80.78 60.11 71.25
Fractional coordinates of all 12 atoms:
Ho  0.923  0.227  0.642
Ho  0.287  0.219  0.000
Ho  0.077  0.773  0.358
Ho  0.564  0.227  0.358
Ho  0.713  0.781  0.000
Ho  0.436  0.773  0.642
Te  0.000  0.000  0.000
Te  0.500  0.500  0.000
Te  0.844  0.500  0.312
Te  0.156  0.500  0.688
Pd  0.330  0.000  0.340
Pd  0.670  0.000  0.660

Properties
space group	C2/m
E_form (uncorrected)	-6.8	eV/f.u.

# 2
This record from the Alexandria database describes an optimized crystal structure of TmHf2Zn3. The functional is PBE.

abc: 3.380 3.380 10.051
angles: 90.00 90.00 90.00
Fractional coordinates of all 6 atoms:
Hf  0.500  0.500  0.161
Hf  0.500  0.500  0.839
Tm  0.500  0.500  0.500
Zn  0.000  0.000  0.684
Zn  0.000  0.000  0.316
Zn  0.000  0.000  0.000

Properties
formation energy	-130.6	kJ/mol of formula units
space group	P4/mmm